Below is Pr3Mg5Pb2 after structural relaxation, with properties calculated at the GGA-PBE level.

Cell lengths 13.1237, 13.7442, 6.4419 Å; angles 90.00, 90.00, 90.00 degrees
Last column: nearest neighbours and their distance in Å.
Space group Ibam (No. 72)
One atom of each set of equivalent atoms:
1 Pr 0.0000 0.0000 0.2500 [4 per cell]  2 Pr 3.22, 4 Pb 3.24, 2 Mg 3.38
2 Pr 0.1242 0.2496 0.0000 [8 per cell]  4 Pb 3.39-3.64, 4 Mg 3.51-3.73
3 Mg 0.0000 0.5000 0.2500 [4 per cell]  8 Mg 2.93-3.22
4 Mg 0.1161 0.3608 0.5000 [8 per cell]  1 Pb 2.80, 4 Mg 2.93-3.00
5 Mg 0.2427 0.5000 0.2500 [8 per cell]  5 Mg 3.00-3.22, 2 Pb 3.14
6 Pb 0.1363 0.1582 0.5000 [8 per cell]  1 Mg 2.80

* energy relative to the elements: -0.155 eV per atom
* size of the total moment: 0.3 μB/f.u.

Below is PrMgPb2 after structural relaxation, with properties calculated at the GGA-PBE level.

Cell lengths 5.0181, 5.0181, 16.1135 Å; angles 90.00, 90.00, 120.00 degrees
Last column: nearest neighbours and their distance in Å.
Space group R-3m (No. 166, hexagonal axes)
One atom of each set of equivalent atoms:
1 Pr 0.0000 0.0000 0.0000 [3 per cell]  6 Pb 3.30
2 Mg 0.0000 0.0000 0.5000 [3 per cell]  6 Pb 3.10
3 Pb 0.0000 0.0000 0.2352 [6 per cell]  3 Mg 3.10, 3 Pr 3.30

* energy relative to the elements: -0.266 eV per atom
* size of the total moment: 0.0 μB/f.u.

Below is PrMgPb3 after structural relaxation, with properties calculated at the GGA-PBE level.

Cell lengths 6.5766, 13.6410, 6.5062 Å; angles 90.00, 90.15, 90.00 degrees
Last column: nearest neighbours and their distance in Å.
Space group P2/c (No. 13)
One atom of each set of equivalent atoms:
1 Pr 0.2499 0.1920 0.9999 [4 per cell]  9 Pb 3.27-3.50, 2 Mg 3.50
2 Mg 0.0000 0.3844 0.2500 [2 per cell]  6 Pb 3.10-3.33, 2 Mg 3.29
3 Mg 0.5000 0.3844 0.2500 [2 per cell]  6 Pb 3.10-3.32, 2 Mg 3.29
4 Pb 0.0000 0.0011 0.2500 [2 per cell]  4 Pb 3.25-3.29, 4 Pr 3.48-3.50
5 Pb 0.2501 0.2298 0.5042 [4 per cell]  2 Mg 3.14-3.15, 4 Pr 3.27-3.33, 1 Pb 3.34
6 Pb 0.2500 0.4254 0.8135 [4 per cell]  4 Mg 3.10-3.33, 3 Pb 3.34-3.39, 1 Pr 3.41
7 Pb 0.5000 0.0008 0.2500 [2 per cell]  4 Pb 3.25-3.29, 4 Pr 3.48-3.50

* energy relative to the elements: -0.278 eV per atom
* size of the total moment: 0.0 μB/f.u.
* energy above the lowest structure with this stoichiometry: 0.0 meV/atom

Below is PrMg2Pb2 after structural relaxation, with properties calculated at the GGA-PBE level.

Cell lengths 4.6263, 25.3321, 4.6601 Å; angles 90.00, 90.00, 90.00 degrees
Last column: nearest neighbours and their distance in Å.
Space group Cmcm (No. 63)
One atom of each set of equivalent atoms:
1 Pr 0.0000 0.1471 0.2500 [4 per cell]  8 Pb 3.34-3.50, 4 Mg 3.51-3.56
2 Mg 0.0000 0.0409 0.7500 [4 per cell]  2 Pb 3.11, 8 Mg 3.12-3.28
3 Mg 0.0000 0.4571 0.7500 [4 per cell]  2 Pb 3.09, 8 Mg 3.14-3.28
4 Pb 0.0000 0.2492 0.7500 [4 per cell]  4 Pb 3.28, 4 Pr 3.48-3.50
5 Pb 0.0000 0.3768 0.2500 [4 per cell]  4 Mg 3.09-3.11, 4 Pr 3.34

* energy relative to the elements: -0.311 eV per atom
* size of the total moment: 0.0 μB/f.u.
* energy above the lowest structure with this stoichiometry: 0.0 meV/atom

Below is PrMg3Pb3 after structural relaxation, with properties calculated at the GGA-PBE level.

Cell lengths 7.8369, 7.8369, 7.8369 Å; angles 90.00, 90.00, 90.00 degrees
Last column: nearest neighbours and their distance in Å.
Space group Pm-3n (No. 223)
One atom of each set of equivalent atoms:
1 Pr 0.0000 0.0000 0.0000 [2 per cell]  12 Pb 4.38, 12 Mg 4.38
2 Mg 0.0000 0.2500 0.5000 [6 per cell]  4 Pb 2.77
3 Pb 0.0000 0.5000 0.2500 [6 per cell]  4 Mg 2.77

* energy relative to the elements: 0.347 eV per atom
* size of the total moment: 0.0 μB/f.u.

Below is Pr2MgPb5 after structural relaxation, with properties calculated at the GGA-PBE level.

Cell lengths 6.8915, 13.6842, 4.9594 Å; angles 90.00, 90.00, 90.00 degrees
Last column: nearest neighbours and their distance in Å.
Space group Pbam (No. 55)
One atom of each set of equivalent atoms:
1 Pr 0.2214 0.1336 0.0000 [4 per cell]  10 Pb 3.40-3.47, 2 Mg 3.63
2 Mg 0.0000 0.5000 0.5000 [2 per cell]  8 Pb 3.32-3.45, 4 Pr 3.63
3 Pb 0.0000 0.0000 0.5000 [2 per cell]  4 Pr 3.44, 2 Mg 3.45, 6 Pb 3.50-3.52
4 Pb 0.0194 0.7429 0.5000 [4 per cell]  1 Mg 3.33, 4 Pr 3.40-3.43, 7 Pb 3.45-3.61
5 Pb 0.2238 0.3843 0.0000 [4 per cell]  2 Mg 3.32, 4 Pr 3.43-3.47, 6 Pb 3.46-3.61

* energy relative to the elements: -0.402 eV per atom
* size of the total moment: 0.0 μB/f.u.